The following is a PBE calculation of an optimized crystal structure of BaLaS2, from the Alexandria database.

abc: 4.298 4.301 7.621
angles: 106.32 90.00 119.98
Fractional positions:
Ba 0.500 0.500 0.000
La 0.000 0.500 0.500
S 0.259 0.018 0.277
S 0.741 0.982 0.723

Its uncorrected formation energy is -2089 meV/atom. The calculation puts the density at 4896 kg/m³. As for the offset from the most stable computed form: 0.0 meV/atom.

***

The following is a PBE calculation of an optimized crystal structure of BaLaS2, from the Alexandria database.

abc: 9.237 9.237 9.237
angles: 27.52 27.52 27.52
Fractional positions:
S 0.887 0.887 0.887
S 0.113 0.113 0.113
Ba 0.000 0.000 0.000
La 0.500 0.500 0.500

Its uncorrected formation energy is -1734 meV/atom. The calculation puts the density at 3806 kg/m³. As for the offset from the most stable computed form: 355.6 meV/atom.

***

The following is a PBE calculation of an optimized crystal structure of Ba2LaS, from the Alexandria database.

abc: 11.281 11.281 8.458
angles: 48.17 48.17 90.00
Fractional positions:
La 0.000 0.000 0.000
S 0.250 0.750 0.500
Ba 0.490 0.125 0.250
Ba 0.375 0.510 0.750
La 0.750 0.250 0.500
Ba 0.875 0.740 0.750
S 0.500 0.500 0.000
Ba 0.260 0.625 0.250

Its uncorrected formation energy is -733 meV/atom. The calculation puts the density at 4137 kg/m³.

***

The following is a PBE calculation of an optimized crystal structure of BaLaScS4, from the Alexandria database.

abc: 6.861 6.955 8.361
angles: 90.00 114.22 90.00
Fractional positions:
Sc 0.751 0.250 0.502
Ba 0.607 0.750 0.214
S 0.413 0.750 0.827
La 0.883 0.750 0.766
S 0.067 0.750 0.134
S 0.587 0.250 0.173
Sc 0.249 0.750 0.498
S 0.500 0.500 0.500
S 0.500 0.000 0.500
La 0.117 0.250 0.234
S 0.000 0.000 0.500
Ba 0.393 0.250 0.786
S 0.933 0.250 0.866
S 0.000 0.500 0.500

Its uncorrected formation energy is -1980 meV/atom. The calculation puts the density at 4102 kg/m³.